# 1
PBE-GGA Y3Ho2In4, optimized geometry; distance to the lowest polymorph of the same formula = 0.00 eV per formula unit; E_form = -425 meV/atom; total DFT energy (no corrections) = -4.814 eV/atom; SG = C2/m (12)
1.0
5.275 0.001 0.001
2.637 4.558 0.164
-0.002 -0.387 10.202
In Ho Y
4 2 3
direct
0.000 0.000 0.345
0.333 0.333 0.101
0.667 0.667 0.899
0.000 0.000 0.655
0.333 0.334 0.777
0.667 0.666 0.223
0.667 0.666 0.576
0.000 0.000 0.000
0.333 0.334 0.424

=====

# 2
PBE-GGA Y3Ho2In4, optimized geometry; distance to the lowest polymorph of the same formula = 1.48 eV per formula unit; E_form = -260 meV/atom; total DFT energy (no corrections) = -4.649 eV/atom; SG = Cmce (64)
1.0
7.029 0.000 0.000
0.000 9.698 0.000
-3.515 0.000 7.753
Ho Y In
4 6 8
direct
0.107 0.545 0.213
0.393 0.045 0.787
0.893 0.455 0.787
0.607 0.955 0.213
0.967 0.250 0.433
0.533 0.750 0.567
0.500 0.500 0.000
0.033 0.750 0.567
0.000 0.000 0.000
0.467 0.250 0.433
0.695 0.524 0.391
0.195 0.976 0.391
0.239 0.750 0.978
0.261 0.250 0.022
0.761 0.250 0.022
0.739 0.750 0.978
0.805 0.024 0.609
0.305 0.476 0.609

=====

# 3
PBE-GGA Y4HoIn3, optimized geometry; E_form = -350 meV/atom; total DFT energy (no corrections) = -5.181 eV/atom; SG = R-3m (166)
1.0
-1.344 1.238 -5.044
2.511 -2.373 -4.104
-5.804 -6.983 -3.020
Y In Ho
4 3 1
direct
0.386 0.386 0.843
0.871 0.871 0.388
0.129 0.129 0.612
0.614 0.614 0.157
0.500 0.500 0.500
0.737 0.737 0.790
0.263 0.263 0.210
0.000 0.000 0.000

=====

# 4
PBE-GGA YHo15In4, optimized geometry; E_form = -200 meV/atom; total DFT energy (no corrections) = -4.504 eV/atom; SG = P4/mmm (123)
1.0
4.836 0.000 0.000
0.000 4.836 0.000
0.000 0.000 24.582
Ho Y In
15 1 4
direct
0.000 0.500 0.303
0.500 0.500 0.402
0.500 0.000 0.303
0.500 0.500 0.205
0.000 0.500 0.895
0.500 0.500 0.000
0.000 0.500 0.697
0.500 0.000 0.895
0.500 0.000 0.105
0.500 0.500 0.795
0.000 0.500 0.500
0.500 0.500 0.598
0.000 0.500 0.105
0.500 0.000 0.500
0.500 0.000 0.697
0.000 0.000 0.000
0.000 0.000 0.402
0.000 0.000 0.794
0.000 0.000 0.598
0.000 0.000 0.206

=====

# 5
PBE-GGA Y2Ho3In4, optimized geometry; distance to the lowest polymorph of the same formula = 1.43 eV per formula unit; E_form = -265 meV/atom; total DFT energy (no corrections) = -4.444 eV/atom; SG = Cmce (64)
1.0
-4.579 4.986 1.930
-0.677 -3.849 8.338
8.393 2.099 1.651
In Y Ho
8 4 6
direct
0.226 0.750 0.952
0.812 0.038 0.623
0.312 0.462 0.623
0.726 0.750 0.952
0.274 0.250 0.048
0.188 0.962 0.377
0.688 0.538 0.377
0.774 0.250 0.048
0.611 0.930 0.221
0.889 0.430 0.779
0.111 0.570 0.221
0.389 0.070 0.779
0.500 0.500 0.000
0.036 0.750 0.572
0.964 0.250 0.428
0.464 0.250 0.428
0.000 0.000 0.000
0.536 0.750 0.572

=====

# 6
PBE-GGA Y6HoIn3, optimized geometry; distance to the lowest polymorph of the same formula = 0.00 eV per formula unit; E_form = -290 meV/atom; total DFT energy (no corrections) = -5.448 eV/atom; SG = P2_1/m (11)
1.0
-4.678 -2.183 0.424
3.078 -4.993 8.259
-3.947 9.396 4.831
Y Ho In
12 2 6
direct
0.750 0.553 0.906
0.250 0.140 0.219
0.750 0.860 0.781
0.250 0.274 0.517
0.250 0.816 0.277
0.750 0.184 0.723
0.750 0.726 0.483
0.250 0.082 0.908
0.750 0.918 0.092
0.250 0.447 0.094
0.750 0.361 0.318
0.250 0.639 0.682
0.250 0.955 0.595
0.750 0.045 0.405
0.250 0.541 0.387
0.750 0.632 0.194
0.250 0.762 0.964
0.250 0.368 0.806
0.750 0.459 0.613
0.750 0.238 0.036

=====

# 7
PBE-GGA YHo9In2, optimized geometry; E_form = -163 meV/atom; total DFT energy (no corrections) = -4.592 eV/atom; SG = P4/mmm (123)
1.0
4.852 0.000 0.000
0.000 4.852 0.000
0.000 0.000 14.869
Y Ho In
1 9 2
direct
0.000 0.000 0.000
0.000 0.500 0.827
0.000 0.500 0.500
0.000 0.500 0.173
0.500 0.000 0.827
0.500 0.000 0.173
0.500 0.500 0.000
0.500 0.500 0.662
0.500 0.500 0.338
0.500 0.000 0.500
0.000 0.000 0.339
0.000 0.000 0.661

=====

# 8
PBE-GGA Y3HoIn, optimized geometry; distance to the lowest polymorph of the same formula = 0.00 eV per formula unit; E_form = -188 meV/atom; total DFT energy (no corrections) = -5.529 eV/atom; SG = Cmcm (63)
1.0
4.715 0.000 1.077
0.000 4.835 0.000
-0.438 0.000 12.773
Y In Ho
6 2 2
direct
0.771 0.250 0.107
0.274 0.750 0.101
0.878 0.750 0.893
0.574 0.250 0.499
0.375 0.250 0.899
0.074 0.750 0.501
0.672 0.750 0.305
0.977 0.250 0.695
0.174 0.250 0.301
0.475 0.750 0.699